Crystalline MnTlCrTcF at its relaxed geometry. Source: Alexandria via LeMat-Bulk, functional GGA+U.

Results
Magnetic moment: 2.0 Bohr magnetons per cell
SG: Pm (6)
Fermi-level density of states: 2.0 states/eV/cell
Polymorph energy (0 for the lowest one): 0.106 eV per atom

Lattice parameters (Å, degrees): 4.467 3.054 6.514 90.00 94.68 90.00
Fractional positions:
Mn 0.000 0.000 0.000
Tl 0.524 0.500 0.270
Cr 0.893 0.000 0.618
Tc 0.473 0.500 0.818
F 0.052 0.000 0.326